[1]
A plane-wave DFT calculation with PBE-GGA was carried out for an optimized crystal structure of CeUP2.

Geometry as CIF:
```
data_CeUP2
_chemical_formula_sum 'Ce1 U1 P2'
_space_group_name_H-M_alt 'P 4/m m m'
_space_group_IT_number 123
_space_group_name_Hall '-P 4 2'
_cell_length_a 3.435
_cell_length_b 3.435
_cell_length_c 6.918
_cell_angle_alpha 90.00
_cell_angle_beta 90.00
_cell_angle_gamma 90.00
loop_
_atom_site_label
_atom_site_fract_x
_atom_site_fract_y
_atom_site_fract_z
Ce1 0.000 0.000 0.000
U1 0.000 0.000 0.500
P1 0.500 0.500 0.262
```

Summary:
Its formation energy is -0.93 eV per atom. The calculation puts the distance to the lowest polymorph of the same formula at 1.18 eV/f.u. The calculated total energy is -31.75 eV per formula unit.

***

[2]
A plane-wave DFT calculation with PBE-GGA was carried out for an optimized crystal structure of CeU3P4.

Geometry as CIF:
```
data_CeU3P4
_chemical_formula_sum 'Ce2 U6 P8'
_space_group_name_H-M_alt 'C m m m'
_space_group_IT_number 65
_space_group_name_Hall '-C 2 2'
_cell_length_a 8.006
_cell_length_b 11.233
_cell_length_c 3.942
_cell_angle_alpha 90.00
_cell_angle_beta 90.00
_cell_angle_gamma 90.00
loop_
_atom_site_label
_atom_site_fract_x
_atom_site_fract_y
_atom_site_fract_z
Ce1 0.000 0.000 0.000
U1 0.000 0.500 0.000
U2 0.250 0.250 0.500
P1 0.000 0.253 0.000
P2 0.243 0.500 0.500
```

Summary:
Its formation energy is -1.09 eV per atom. The calculated total energy is -70.12 eV per formula unit.

***

[3]
A plane-wave DFT calculation with PBE-GGA was carried out for an optimized crystal structure of Ce3UP4.

Geometry as CIF:
```
data_Ce3UP4
_chemical_formula_sum 'Ce6 U2 P8'
_space_group_name_H-M_alt 'C m m m'
_space_group_IT_number 65
_space_group_name_Hall '-C 2 2'
_cell_length_a 8.133
_cell_length_b 11.465
_cell_length_c 4.040
_cell_angle_alpha 90.00
_cell_angle_beta 90.00
_cell_angle_gamma 90.00
loop_
_atom_site_label
_atom_site_fract_x
_atom_site_fract_y
_atom_site_fract_z
Ce1 0.000 0.000 0.000
Ce2 0.250 0.250 0.500
U1 0.000 0.500 0.000
P1 0.000 0.255 0.000
P2 0.241 0.500 0.500
```

Summary:
Its formation energy is -1.35 eV per atom. The calculated total energy is -61.54 eV per formula unit.

***

[4]
A plane-wave DFT calculation with PBE-GGA was carried out for an optimized crystal structure of CeY2UP4.

Geometry as CIF:
```
data_CeY2UP4
_chemical_formula_sum 'Ce1 Y2 U1 P4'
_space_group_name_H-M_alt 'P 1 2/m 1'
_space_group_IT_number 10
_cell_length_a 6.949
_cell_length_b 4.002
_cell_length_c 6.960
_cell_angle_alpha 90.00
_cell_angle_beta 109.34
_cell_angle_gamma 90.00
loop_
_space_group_symop_operation_xyz
'x,y,z'
'-x,-y,-z'
'-x,y,-z'
'x,-y,z'
loop_
_atom_site_label
_atom_site_fract_x
_atom_site_fract_y
_atom_site_fract_z
Ce1 0.000 0.000 0.000
Y1 0.000 0.500 0.500
Y2 0.500 0.000 0.500
U1 0.500 0.500 0.000
P1 0.256 0.500 0.249
P2 0.257 0.000 0.754
```

Summary:
Its formation energy is -1.42 eV per atom. The calculated total energy is -63.18 eV per formula unit.

***

[5]
A plane-wave DFT calculation with PBE-GGA was carried out for an optimized crystal structure of CeYU2P4.

Geometry as CIF:
```
data_CeYU2P4
_chemical_formula_sum 'Ce1 Y1 U2 P4'
_space_group_name_H-M_alt 'P 1 2/m 1'
_space_group_IT_number 10
_cell_length_a 6.880
_cell_length_b 3.970
_cell_length_c 6.995
_cell_angle_alpha 90.00
_cell_angle_beta 109.13
_cell_angle_gamma 90.00
loop_
_space_group_symop_operation_xyz
'x,y,z'
'-x,-y,-z'
'-x,y,-z'
'x,-y,z'
loop_
_atom_site_label
_atom_site_fract_x
_atom_site_fract_y
_atom_site_fract_z
Ce1 0.000 0.000 0.000
Y1 0.500 0.500 0.000
U1 0.000 0.500 0.500
U2 0.500 0.000 0.500
P1 0.250 0.000 0.742
P2 0.256 0.500 0.259
```

Summary:
Its formation energy is -1.26 eV per atom. The calculated total energy is -66.68 eV per formula unit.

***

[6]
A plane-wave DFT calculation with PBE-GGA was carried out for an optimized crystal structure of Ce3ZrU2P6.

Geometry as CIF:
```
data_Ce3ZrU2P6
_chemical_formula_sum 'Ce6 Zr2 U4 P12'
_space_group_name_H-M_alt 'C 1 2/m 1'
_space_group_IT_number 12
_cell_length_a 6.852
_cell_length_b 11.868
_cell_length_c 6.930
_cell_angle_alpha 90.00
_cell_angle_beta 109.24
_cell_angle_gamma 90.00
loop_
_space_group_symop_operation_xyz
'x,y,z'
'-x,-y,-z'
'-x,y,-z'
'x,-y,z'
'x+1/2,y+1/2,z'
'-x+1/2,-y+1/2,-z'
'-x+1/2,y+1/2,-z'
'x+1/2,-y+1/2,z'
loop_
_atom_site_label
_atom_site_fract_x
_atom_site_fract_y
_atom_site_fract_z
Ce1 0.000 0.000 0.000
Ce2 0.000 0.333 0.000
Zr1 0.000 0.500 0.500
U1 0.000 0.166 0.500
P1 0.242 0.336 0.734
P2 0.250 0.000 0.736
```

Summary:
Its formation energy is -1.30 eV per atom. The calculated total energy is -96.99 eV per formula unit.

***

[7]
A plane-wave DFT calculation with PBE-GGA was carried out for an optimized crystal structure of Ce2ZrUP4.

Geometry as CIF:
```
data_Ce2ZrUP4
_chemical_formula_sum 'Ce2 Zr1 U1 P4'
_space_group_name_H-M_alt 'P 1 2/m 1'
_space_group_IT_number 10
_cell_length_a 6.827
_cell_length_b 3.941
_cell_length_c 6.881
_cell_angle_alpha 90.00
_cell_angle_beta 109.11
_cell_angle_gamma 90.00
loop_
_space_group_symop_operation_xyz
'x,y,z'
'-x,-y,-z'
'-x,y,-z'
'x,-y,z'
loop_
_atom_site_label
_atom_site_fract_x
_atom_site_fract_y
_atom_site_fract_z
Ce1 0.000 0.000 0.000
Ce2 0.500 0.500 0.000
Zr1 0.000 0.500 0.500
U1 0.500 0.000 0.500
P1 0.240 0.000 0.732
P2 0.250 0.500 0.265
```

Summary:
Its formation energy is -1.35 eV per atom. The calculated total energy is -64.11 eV per formula unit.

***

[8]
A plane-wave DFT calculation with PBE-GGA was carried out for an optimized crystal structure of Ce4ZrU3P8.

Geometry as CIF:
```
data_Ce4ZrU3P8
_chemical_formula_sum 'Ce12 Zr3 U9 P24'
_space_group_name_H-M_alt 'R -3 m'
_space_group_IT_number 166
_space_group_name_Hall '-R 3 2"'
_cell_length_a 7.9298
_cell_length_b 7.9298
_cell_length_c 19.6846
_cell_angle_alpha 90.00
_cell_angle_beta 90.00
_cell_angle_gamma 120.00
loop_
_atom_site_label
_atom_site_fract_x
_atom_site_fract_y
_atom_site_fract_z
Ce1 0.0000 0.0000 0.0000
Ce2 0.0000 0.5000 0.0000
Zr1 0.0000 0.0000 0.5000
U1 0.0000 0.5000 0.5000
P1 0.0000 0.0000 0.2462
P2 0.0048 0.5024 0.2448
```

Summary:
Its formation energy is -1.28 eV per atom. The calculated total energy is -129.98 eV per formula unit.